a:
# RbRu3Se

A relaxed RbRu3Se crystal (PBE-GGA, Alexandria via LeMat-Bulk).

The value obtained for the volume is 106 Å³/f.u. As for the density of states at the Fermi level: 6.63 states/eV/f.u. The crystal system is cubic. The value obtained for the total magnetic moment is 0.5201 μB per atom.

It has space group Pm-3m (No. 221), with a = 4.730 Å, b = 4.730 Å, c = 4.730 Å, α = 90.00°, β = 90.00° and γ = 90.00°. The asymmetric unit holds Rb at (0.000, 0.000, 0.000), Ru at (0.000, 0.500, 0.500) and Se at (0.500, 0.500, 0.500).

=====

b:
# RbRu3Se

A relaxed RbRu3Se crystal (PBE-GGA, Alexandria via LeMat-Bulk).

The value obtained for the volume is 119 Å³/f.u. As for the density of states at the Fermi level: 7.10 states/eV/f.u. The crystal system is cubic. The value obtained for the total magnetic moment is 1.3351 μB per atom.

It has space group Pm-3m (No. 221), with a = 4.912 Å, b = 4.912 Å, c = 4.912 Å, α = 90.00°, β = 90.00° and γ = 90.00°. The asymmetric unit holds Rb at (0.000, 0.000, 0.000), Ru at (0.000, 0.000, 0.500) and Se at (0.500, 0.500, 0.500).

=====

Which is less stable than every other structure shown? b is.